# 1
MgTi2Ag | PBE | relaxed Values from VASP.

Computed properties:
Energy relative to the elements in eV per atom: 0.459

```
&SYSTEM
  ibrav = 0, nat = 8, ntyp = 3
/
ATOMIC_SPECIES
Mg 24.30 Mg.upf
Ti 47.87 Ti.upf
Ag 107.87 Ag.upf
ATOMIC_POSITIONS angstrom
Mg 0.498 -4.930 7.156
Mg -1.564 -2.700 4.461
Ti -1.325 -2.750 7.715
Ti 1.030 -3.988 4.470
Ti -3.444 -0.618 5.183
Ti -2.791 -5.671 12.320
Ag 0.000 0.000 0.000
Ag -3.763 -1.584 7.687
CELL_PARAMETERS angstrom
-5.825 0.647 4.993
2.697 -6.046 3.930
-0.137 -1.115 5.921
```

=====

# 2
YZnCu | PBE | relaxed Values from VASP.

Computed properties:
Energy relative to the elements in eV per atom: -0.132

```
&SYSTEM
  ibrav = 0, nat = 3, ntyp = 3
/
ATOMIC_SPECIES
Cu 63.55 Cu.upf
Zn 65.41 Zn.upf
Y 88.91 Y.upf
ATOMIC_POSITIONS angstrom
Cu 6.734 3.888 2.749
Zn 4.490 2.592 1.833
Y 0.000 0.000 0.000
CELL_PARAMETERS angstrom
4.490 0.000 0.000
2.245 3.888 0.000
2.245 1.296 3.666
```

=====

# 3
ScRe2Sb | PBE | relaxed Values from VASP.

Computed properties:
ΔE_f (raw) in meV/atom: -12.4

```
&SYSTEM
  ibrav = 0, nat = 4, ntyp = 3
/
ATOMIC_SPECIES
Re 186.21 Re.upf
Sc 44.96 Sc.upf
Sb 121.76 Sb.upf
ATOMIC_POSITIONS angstrom
Re 0.086 -0.140 0.131
Re -0.242 -2.767 -0.028
Sc 1.601 -5.772 2.791
Sb 1.510 -2.461 2.309
CELL_PARAMETERS angstrom
-2.694 -1.478 0.185
0.800 -1.758 -2.397
3.232 -5.269 4.943
```